VASP calculation (PBE-GGA) on a relaxed CdRuAuN2 crystal.

The final energy comes out at -3.774 eV per atom.

Unit cell a=4.009 b=5.458 c=4.009 alpha=90.00 beta=90.00 gamma=90.00
Last column: magnetic moment on the atom in μB.
Fractional positions:
Ru: 0.500 0.500 0.500  2.12
N: 0.000 0.000 0.500  0.17
N: 0.500 0.000 0.000  0.09
Au: 0.000 0.000 0.000  0.02
Cd: 0.000 0.500 0.000  -0.04